The following is a PBE calculation of BeCrSi2 after structural relaxation, from Alexandria via LeMat-Bulk.

Cell and atoms, written as extended XYZ:
```
4
Lattice="2.5548 0.0000 0.0000 -0.4477 2.5153 0.0000 0.0000 0.0000 7.2713" Properties=species:S:1:pos:R:3 pbc="T T T"
Cr 1.0536 1.2576 5.4535
Si 0.0000 0.0000 0.0175
Si 0.0000 0.0000 3.6182
Be 1.0536 1.2576 1.8178
```

Formation energy without anion corrections ... 0.20 eV/atom
DOS at the Fermi energy ... 0.640 states/eV per atom
Magnetic moment ... 0.08 μB per formula unit

The following is a PBE calculation of Rb2Ca2F7 after structural relaxation, from Alexandria via LeMat-Bulk.

Cell and atoms, written as extended XYZ:
```
22
Lattice="-8.2076 2.2913 0.4380 -5.5878 -4.9240 4.1639 -3.3059 2.6283 7.4142" Properties=species:S:1:pos:R:3 pbc="T T T"
Rb -10.6883 -0.0027 7.5101
Rb -9.0353 -1.3168 3.8030
Rb -7.8944 2.4593 5.4281
Rb -6.5845 -1.1484 7.2911
Ca -6.2415 1.1451 1.7210
Ca -4.9315 -2.4625 3.5840
Ca -3.7906 1.3136 5.2091
Ca -2.1377 -0.0005 1.5020
F -5.3400 1.6081 6.8688
F -6.7368 -3.0151 4.8791
F -5.4244 1.9077 3.7192
F -6.3094 -1.0212 2.4587
F -12.8260 -0.0033 9.0121
F -8.3406 1.4019 2.5982
F -4.1423 0.8884 0.8438
F -4.4084 -0.8906 5.1642
F -2.2413 1.0191 3.5494
F -3.1262 -1.9099 2.2888
F -8.7606 -1.4062 9.4179
F -8.5506 -0.0022 6.0081
F -10.3644 3.0108 7.1370
F -11.7613 -1.6125 5.1473
```

Formation energy without anion corrections ... -3.11 eV/atom
DOS at the Fermi energy ... 1.956 states/eV per atom
Magnetic moment ... 1.19 μB per formula unit

The following is a PBE calculation of NaSO2 after structural relaxation, from Alexandria via LeMat-Bulk.

Cell and atoms, written as extended XYZ:
```
4
Lattice="1.8753 0.0000 6.1123 -0.9377 1.6241 6.1123 -0.9377 -1.6241 6.1123" Properties=species:S:1:pos:R:3 pbc="T T T"
Na 0.0000 0.0000 0.0000
S 0.0000 0.0000 9.1685
O 0.0000 0.0000 16.2172
O 0.0000 0.0000 2.1198
```

Formation energy without anion corrections ... -0.12 eV/atom
DOS at the Fermi energy ... 0.370 states/eV per atom
Magnetic moment ... 0.00 μB per formula unit

The following is a PBE calculation of Ho4TcSe after structural relaxation, from Alexandria via LeMat-Bulk.

Cell and atoms, written as extended XYZ:
```
24
Lattice="-3.2569 0.9638 -2.3823 -2.7711 -6.6639 1.0925 -9.9850 6.8439 16.4195" Properties=species:S:1:pos:R:3 pbc="T T T"
Ho -11.4680 -1.2009 9.7736
Ho -4.5450 2.3448 5.3560
Ho -3.7549 -2.4784 2.3245
Ho -12.2581 3.6222 12.8051
Ho -9.5183 -1.6437 6.9290
Ho -6.4947 2.7876 8.2006
Ho -12.3685 2.5320 16.1274
Ho -3.6445 -1.3881 -0.9977
Ho -14.4066 0.4325 14.4518
Ho -1.6064 0.7114 0.6778
Ho -6.4470 -0.2524 6.9055
Ho -9.5660 1.3962 8.2241
Ho -7.0332 -3.7435 2.6821
Ho -8.9798 4.8873 12.4475
Ho -9.6268 1.0492 11.7793
Ho -6.3862 0.0947 3.3503
Tc -7.3833 2.0362 5.4990
Tc -8.6297 -0.8923 9.6306
Tc -10.7912 4.8709 14.9172
Tc -5.2218 -3.7270 0.2124
Se -12.5479 0.6383 11.9940
Se -3.4651 0.5055 3.1356
Se -5.5461 -2.3498 4.8253
Se -10.4669 3.4936 10.3043
```

Formation energy without anion corrections ... -0.61 eV/atom
DOS at the Fermi energy ... 0.813 states/eV per atom
Magnetic moment ... 0.00 μB per formula unit

The following is a PBE calculation of SmPuCdO6 after structural relaxation, from Alexandria via LeMat-Bulk.

Cell and atoms, written as extended XYZ:
```
9
Lattice="-2.2372 -3.6265 -1.9963 -1.6831 -1.8535 5.2533 -3.3457 3.7082 -2.9869" Properties=species:S:1:pos:R:3 pbc="T T T"
Sm -3.3559 -1.8129 1.5084
Pu -1.1186 -1.8133 -0.9982
Cd -2.7915 1.8543 -0.2401
O -5.1781 -1.3374 0.1475
O -2.1301 -3.1868 0.0913
O -4.2961 -3.4052 2.9153
O -2.0864 -0.4393 0.1299
O -1.7976 -2.2883 3.1650
O -4.6471 -0.2202 2.6015
```

Formation energy without anion corrections ... -2.27 eV/atom
Magnetic moment ... 1.00 μB per formula unit

The following is a PBE calculation of Sb3P after structural relaxation, from Alexandria via LeMat-Bulk.

Cell and atoms, written as extended XYZ:
```
4
Lattice="1.5195 1.2702 4.7637 -5.1492 0.0686 -0.3098 -0.1205 -4.0258 1.1119" Properties=species:S:1:pos:R:3 pbc="T T T"
Sb -3.6843 -1.6695 1.4064
Sb -1.8149 0.6694 2.2269
Sb -0.0659 -1.0176 4.1593
P 0.0000 0.0000 0.0000
```

Formation energy without anion corrections ... 0.15 eV/atom
DOS at the Fermi energy ... 0.371 states/eV per atom
Excess energy over the best structure of this formula in the dataset ... 47.0 meV/atom
Magnetic moment ... 0.00 μB per formula unit

The following is a PBE calculation of Na2Mg3Sn4 after structural relaxation, from Alexandria via LeMat-Bulk.

Cell and atoms, written as extended XYZ:
```
18
Lattice="6.6506 0.0000 0.0000 0.0000 8.0800 0.0000 -3.3253 0.0000 9.2337" Properties=species:S:1:pos:R:3 pbc="T T T"
Na 0.0000 4.9136 1.6990
Na 3.3253 3.1664 7.5347
Na 0.0000 0.8736 7.5347
Na 3.3253 7.2065 1.6990
Mg 0.0000 0.0000 0.0000
Mg 3.3253 4.0400 0.0000
Mg 1.6627 6.0600 4.8150
Mg 4.9880 2.0200 4.4187
Mg 1.6627 2.0200 4.4187
Mg -1.6627 6.0600 4.8150
Sn 1.6627 6.0600 7.8925
Sn 4.9880 2.0200 1.3412
Sn 1.6626 2.0200 1.3412
Sn -1.6626 6.0600 7.8925
Sn 0.0000 7.9745 3.0741
Sn 3.3253 0.1055 6.1596
Sn 0.0000 3.9345 6.1596
Sn 3.3253 4.1455 3.0741
```

Formation energy from the elements ... -10.93 kJ per mole of atoms
DOS at the Fermi energy ... 0.406 states/eV per atom
Magnetic moment ... 0.00 μB per formula unit

The following is a PBE calculation of AlCBr2 after structural relaxation, from Alexandria via LeMat-Bulk.

Cell and atoms, written as extended XYZ:
```
4
Lattice="-0.9330 -2.4213 4.0444 -3.7260 1.2704 2.7556 -3.8702 -2.8359 0.2640" Properties=species:S:1:pos:R:3 pbc="T T T"
C 0.0000 0.0000 0.0000
Al -4.2646 -1.9934 3.5320
Br -2.1323 -0.9967 1.7660
Br -6.3969 -2.9901 5.2980
```

Formation energy without anion corrections ... 1.55 eV/atom
DOS at the Fermi energy ... 0.823 states/eV per atom
Excess energy over the best structure of this formula in the dataset ... 182.6 meV/atom
Magnetic moment ... 1.22 μB per formula unit